Record 1
DFT (PBE-GGA) results for a relaxed structure of TlCd2Hg2.

Summary:
* electronic total energy: -0.938 eV per atom
* distance to the lowest polymorph of the same formula: 0.0050 eV/atom

```
TlCd2Hg2
1.0
-4.031 -1.898 0.615
1.650 -2.391 3.434
-2.910 2.916 6.374
Hg Cd Tl
2 2 1
Direct
0.605 0.605 0.790
0.395 0.395 0.210
0.250 0.750 0.500
0.750 0.250 0.500
0.000 0.000 0.000
```



Record 2
DFT (PBE-GGA) results for a relaxed structure of Tl2Cd7Hg3.

Summary:
* electronic total energy: -0.955 eV per atom

```
Tl2Cd7Hg3
1.0
-0.972 -2.710 1.367
4.139 -2.366 -1.749
9.630 4.812 16.387
Cd Tl Hg
7 2 3
Direct
0.500 0.792 0.851
0.500 0.741 0.458
0.000 0.291 0.857
0.500 0.259 0.542
0.500 0.208 0.149
0.000 0.000 0.000
0.000 0.709 0.143
0.500 0.328 0.708
0.500 0.672 0.292
0.000 0.206 0.386
0.500 0.500 0.000
0.000 0.794 0.614
```



Record 3
DFT (PBE-GGA) results for a relaxed structure of Tl2CdHg.

Summary:
* electronic total energy: -1.455 eV per atom
* distance to the lowest polymorph of the same formula: 0.0202 eV/atom

```
Tl2CdHg
1.0
1.789 3.778 3.471
-3.541 2.848 2.979
-0.347 -0.849 5.356
Cd Tl Hg
1 2 1
Direct
0.000 0.000 0.000
0.250 0.250 0.250
0.750 0.750 0.750
0.500 0.500 0.500
```



Record 4
DFT (PBE-GGA) results for a relaxed structure of TlCd2Hg.

Summary:
* electronic total energy: -1.085 eV per atom
* distance to the lowest polymorph of the same formula: 0.0195 eV/atom

```
TlCd2Hg
1.0
6.166 -0.080 -0.017
2.835 5.477 0.017
-3.986 -3.557 3.081
Cd Tl Hg
2 1 1
Direct
0.988 0.988 0.000
0.751 0.251 0.500
0.250 0.750 0.500
0.512 0.512 0.000
```



Record 5
DFT (PBE-GGA) results for a relaxed structure of TlCd4Hg4.

Summary:
* electronic total energy: -0.787 eV per atom
* distance to the lowest polymorph of the same formula: 0.0000 eV/atom

```
TlCd4Hg4
1.0
-3.454 2.693 -1.101
-4.996 -4.120 -3.661
-4.915 -0.236 5.580
Hg Tl Cd
4 1 4
Direct
0.672 0.000 0.656
0.672 0.656 0.000
0.328 0.000 0.344
0.328 0.344 0.000
0.000 0.000 0.000
0.000 0.339 0.661
0.661 0.339 0.339
0.339 0.661 0.661
0.000 0.661 0.339
```



Record 6
DFT (PBE-GGA) results for a relaxed structure of TlCd7Hg12.

Summary:
* electronic total energy: -0.528 eV per atom
* distance to the lowest polymorph of the same formula: 0.0599 eV/atom

```
TlCd7Hg12
1.0
-3.545 0.050 -8.745
4.305 -8.244 1.602
-6.989 1.163 6.234
Cd Hg Tl
7 12 1
Direct
0.000 0.500 0.500
0.500 0.500 0.500
0.500 0.000 0.000
0.000 0.500 0.000
0.000 0.000 0.500
0.500 0.000 0.500
0.500 0.500 0.000
0.156 0.879 0.723
0.156 0.432 0.277
0.844 0.568 0.723
0.723 0.156 0.879
0.277 0.844 0.121
0.723 0.844 0.568
0.568 0.723 0.844
0.121 0.277 0.844
0.844 0.121 0.277
0.879 0.723 0.156
0.277 0.156 0.432
0.432 0.277 0.156
0.000 0.000 0.000
```



Record 7
DFT (PBE-GGA) results for a relaxed structure of Tl8Cd2Hg3.

Summary:
* electronic total energy: -1.606 eV per atom
* distance to the lowest polymorph of the same formula: 0.0090 eV/atom

```
Tl8Cd2Hg3
1.0
5.746 0.000 1.779
0.000 8.456 0.000
-0.200 -4.228 8.167
Cd Tl Hg
2 8 3
Direct
0.355 0.237 0.474
0.645 0.763 0.526
0.958 0.400 0.800
0.898 0.183 0.365
0.042 0.600 0.200
0.489 0.827 0.241
0.102 0.817 0.635
0.511 0.586 0.759
0.489 0.414 0.241
0.511 0.173 0.759
0.500 0.000 0.000
0.000 0.184 0.000
0.000 0.816 0.000
```



Record 8
DFT (PBE-GGA) results for a relaxed structure of TlCd2Hg3.

Summary:
* electronic total energy: -0.818 eV per atom
* distance to the lowest polymorph of the same formula: 0.0244 eV/atom

```
TlCd2Hg3
1.0
-1.935 5.393 -3.299
-5.610 -3.427 0.700
-2.465 3.854 6.235
Hg Cd Tl
6 4 2
Direct
0.683 0.317 0.250
0.758 0.632 0.534
0.317 0.683 0.750
0.632 0.758 0.034
0.242 0.368 0.466
0.368 0.242 0.966
0.413 0.862 0.363
0.862 0.413 0.863
0.138 0.587 0.137
0.587 0.138 0.637
0.993 0.007 0.250
0.007 0.993 0.750
```



Number 1: energy of formation 2.15 kJ per mole of atoms. Number 2: energy of formation 4.72 kJ per mole of atoms. Number 3: energy of formation 3.14 kJ per mole of atoms. Number 4: energy of formation 3.78 kJ per mole of atoms. Number 5: energy of formation 1.62 kJ per mole of atoms. Number 6: energy of formation 8.88 kJ per mole of atoms. Number 7: energy of formation 5.85 kJ per mole of atoms. Number 8: energy of formation 3.13 kJ per mole of atoms.